This record from Alexandria describes Y2MoSe3O12 after structural relaxation. The functional is PBE+U.

Summary:
Theoretical density in g/cm³: 4.737
Energy in Ry/atom: -0.5006

```
data_Y2MoSe3O12
_symmetry_space_group_name_H-M 'P -1'
_symmetry_Int_Tables_number 2
_cell_length_a 6.612
_cell_length_b 7.168
_cell_length_c 10.906
_cell_angle_alpha 84.90
_cell_angle_beta 73.25
_cell_angle_gamma 86.49
loop_
_symmetry_equiv_pos_as_xyz
'x,y,z'
'-x,-y,-z'
loop_
_atom_site_label
_atom_site_type_symbol
_atom_site_fract_x
_atom_site_fract_y
_atom_site_fract_z
Y1 Y 0.204 0.182 0.168
Y2 Y 0.267 0.361 0.492
Mo1 Mo 0.278 0.107 0.794
Se1 Se 0.201 0.660 0.216
Se2 Se 0.211 0.860 0.506
Se3 Se 0.343 0.636 0.857
O1 O 0.043 0.191 0.392
O2 O 0.058 0.873 0.194
O3 O 0.082 0.602 0.383
O4 O 0.099 0.497 0.149
O5 O 0.177 0.829 0.821
O6 O 0.218 0.166 0.955
O7 O 0.281 0.039 0.583
O8 O 0.306 0.327 0.701
O9 O 0.359 0.662 0.539
O10 O 0.424 0.347 0.271
O11 O 0.450 0.974 0.234
O12 O 0.451 0.726 0.961
```